Computed, not measured: an optimized crystal structure of LaWF2 at the GGA+U level of DFT.

Values from the calculation:
Energy relative to the lowest polymorph listed for this composition (meV per atom): 320
Magnetization (μB per formula unit): 0.00

abc: 3.0698 3.0698 24.1228
angles: 90.00 90.00 120.00
Space group R-3m (No. 166, hexagonal axes)
Asymmetric unit:
La 0.0000 0.0000 0.0000 [3 per cell]
W 0.0000 0.0000 0.5000 [3 per cell]
F 0.0000 0.0000 0.4094 [6 per cell]